The following is a DFT calculation (PBE-GGA) of a relaxed structure of TlAs2P.

```
data_TlAs2P
_space_group_name_H-M_alt 'P 1'
_space_group_IT_number 1
_cell_length_a 8.981
_cell_length_b 8.981
_cell_length_c 8.981
_cell_angle_alpha 22.16
_cell_angle_beta 22.16
_cell_angle_gamma 22.16
loop_
_space_group_symop_operation_xyz
'x,y,z'
loop_
_atom_site_label
_atom_site_type_symbol
_atom_site_fract_x
_atom_site_fract_y
_atom_site_fract_z
As1 As 0.975 0.975 0.975
As2 As 0.525 0.525 0.525
P1 P 0.250 0.250 0.250
Tl1 Tl 0.750 0.750 0.750
```

Summary:
- calculated density (g cm⁻³) = 7.08
- total magnetization (μB per formula unit) = 0.00
- calculated formation energy (eV/atom) = 0.164
- energy (eV per cell) = -16.4
- symmetry = No. 166

The following is a DFT calculation (PBE-GGA) of a relaxed structure of Tl2AsP.

```
data_Tl2AsP
_space_group_name_H-M_alt 'P 1'
_space_group_IT_number 1
_cell_length_a 4.398
_cell_length_b 4.406
_cell_length_c 5.040
_cell_angle_alpha 90.00
_cell_angle_beta 90.00
_cell_angle_gamma 90.00
loop_
_space_group_symop_operation_xyz
'x,y,z'
loop_
_atom_site_label
_atom_site_type_symbol
_atom_site_fract_x
_atom_site_fract_y
_atom_site_fract_z
As1 As 0.500 0.000 0.500
P1 P 0.000 0.500 0.500
Tl1 Tl 0.000 0.000 0.000
Tl2 Tl 0.500 0.500 0.000
```

Summary:
- calculated density (g cm⁻³) = 8.75
- total magnetization (μB per formula unit) = 0.00
- calculated formation energy (eV/atom) = 0.443
- energy (eV per cell) = -13.0
- symmetry = No. 123

The following is a DFT calculation (PBE-GGA) of a relaxed structure of TlAsP2.

```
data_TlAsP2
_space_group_name_H-M_alt 'P 1'
_space_group_IT_number 1
_cell_length_a 4.738
_cell_length_b 4.738
_cell_length_c 3.498
_cell_angle_alpha 90.00
_cell_angle_beta 90.00
_cell_angle_gamma 90.29
loop_
_space_group_symop_operation_xyz
'x,y,z'
loop_
_atom_site_label
_atom_site_type_symbol
_atom_site_fract_x
_atom_site_fract_y
_atom_site_fract_z
As1 As 0.000 0.500 0.500
P1 P 0.000 0.000 0.000
P2 P 0.500 0.500 0.000
Tl1 Tl 0.500 0.000 0.500
```

Summary:
- calculated density (g cm⁻³) = 7.21
- total magnetization (μB per formula unit) = 0.00
- calculated formation energy (eV/atom) = 0.703
- energy (eV per cell) = -15.0
- symmetry = No. 65

The following is a DFT calculation (PBE-GGA) of a relaxed structure of Tl2AsP.

```
data_Tl2AsP
_space_group_name_H-M_alt 'P 1'
_space_group_IT_number 1
_cell_length_a 5.874
_cell_length_b 5.874
_cell_length_c 5.874
_cell_angle_alpha 135.58
_cell_angle_beta 135.58
_cell_angle_gamma 64.63
loop_
_space_group_symop_operation_xyz
'x,y,z'
loop_
_atom_site_label
_atom_site_type_symbol
_atom_site_fract_x
_atom_site_fract_y
_atom_site_fract_z
As1 As 0.250 0.750 0.500
P1 P 0.750 0.250 0.500
Tl1 Tl 0.000 0.000 0.000
Tl2 Tl 0.500 0.500 0.000
```

Summary:
- calculated density (g cm⁻³) = 8.73
- total magnetization (μB per formula unit) = 0.00
- calculated formation energy (eV/atom) = 0.454
- energy (eV per cell) = -13.0
- symmetry = No. 139

The following is a DFT calculation (PBE-GGA) of a relaxed structure of Tl2AsP.

```
data_Tl2AsP
_space_group_name_H-M_alt 'P 1'
_space_group_IT_number 1
_cell_length_a 3.121
_cell_length_b 4.984
_cell_length_c 6.257
_cell_angle_alpha 90.00
_cell_angle_beta 90.00
_cell_angle_gamma 90.00
loop_
_space_group_symop_operation_xyz
'x,y,z'
loop_
_atom_site_label
_atom_site_type_symbol
_atom_site_fract_x
_atom_site_fract_y
_atom_site_fract_z
As1 As 0.500 0.500 0.250
P1 P 0.500 0.500 0.750
Tl1 Tl 0.000 0.000 0.997
Tl2 Tl 0.000 0.000 0.503
```

Summary:
- calculated density (g cm⁻³) = 8.78
- total magnetization (μB per formula unit) = 0.00
- calculated formation energy (eV/atom) = 0.448
- energy (eV per cell) = -13.0
- symmetry = No. 47

The following is a DFT calculation (PBE-GGA) of a relaxed structure of TlAsP2.

```
data_TlAsP2
_space_group_name_H-M_alt 'P 1'
_space_group_IT_number 1
_cell_length_a 5.786
_cell_length_b 5.672
_cell_length_c 2.874
_cell_angle_alpha 79.43
_cell_angle_beta 82.12
_cell_angle_gamma 118.38
loop_
_space_group_symop_operation_xyz
'x,y,z'
loop_
_atom_site_label
_atom_site_type_symbol
_atom_site_fract_x
_atom_site_fract_y
_atom_site_fract_z
As1 As 0.500 0.500 0.000
P1 P 0.000 0.000 0.000
P2 P 0.500 0.000 0.500
Tl1 Tl 0.000 0.500 0.500
```

Summary:
- calculated density (g cm⁻³) = 7.19
- total magnetization (μB per formula unit) = 0.00
- calculated formation energy (eV/atom) = 0.715
- energy (eV per cell) = -15.0
- symmetry = No. 12

The following is a DFT calculation (PBE-GGA) of a relaxed structure of TlAsP2.

```
data_TlAsP2
_space_group_name_H-M_alt 'P 1'
_space_group_IT_number 1
_cell_length_a 6.894
_cell_length_b 6.894
_cell_length_c 6.894
_cell_angle_alpha 32.00
_cell_angle_beta 32.00
_cell_angle_gamma 32.00
loop_
_space_group_symop_operation_xyz
'x,y,z'
loop_
_atom_site_label
_atom_site_type_symbol
_atom_site_fract_x
_atom_site_fract_y
_atom_site_fract_z
As1 As 0.750 0.750 0.750
P1 P 0.012 0.012 0.012
P2 P 0.488 0.488 0.488
Tl1 Tl 0.250 0.250 0.250
```

Summary:
- calculated density (g cm⁻³) = 6.93
- total magnetization (μB per formula unit) = 0.00
- calculated formation energy (eV/atom) = 0.298
- energy (eV per cell) = -16.6
- symmetry = No. 166

The following is a DFT calculation (PBE-GGA) of a relaxed structure of Tl2AsP.

```
data_Tl2AsP
_space_group_name_H-M_alt 'P 1'
_space_group_IT_number 1
_cell_length_a 9.737
_cell_length_b 9.737
_cell_length_c 9.737
_cell_angle_alpha 20.91
_cell_angle_beta 20.91
_cell_angle_gamma 20.91
loop_
_space_group_symop_operation_xyz
'x,y,z'
loop_
_atom_site_label
_atom_site_type_symbol
_atom_site_fract_x
_atom_site_fract_y
_atom_site_fract_z
P1 P 0.767 0.767 0.767
Tl1 Tl 0.009 0.009 0.009
Tl2 Tl 0.245 0.245 0.245
As1 As 0.480 0.480 0.480
```

Summary:
- calculated density (g cm⁻³) = 8.30
- total magnetization (μB per formula unit) = 0.00
- calculated formation energy (eV/atom) = 0.070
- energy (eV per cell) = -14.5
- symmetry = No. 160